1.
A plane-wave DFT calculation with PBE-GGA was carried out for an optimized crystal structure of CuSe.

```
6
Lattice="3.843 -3.959 0.000 3.843 3.959 0.000 0.000 0.000 3.594" Properties=species:S:1:pos:R:3 pbc="T T T"
Cu 0.000 0.000 0.000
Cu 3.843 2.028 1.797
Cu 3.843 -2.028 1.797
Se 1.922 1.979 0.000
Se 1.922 -1.979 0.000
Se 3.843 0.000 0.000
```

---

2.
A plane-wave DFT calculation with PBE-GGA was carried out for an optimized crystal structure of CuSe3.

```
4
Lattice="4.834 0.000 0.000 0.000 4.834 0.000 0.000 0.000 3.191" Properties=species:S:1:pos:R:3 pbc="T T T"
Cu 0.000 0.000 0.000
Se 0.000 2.417 1.596
Se 2.417 0.000 1.596
Se 2.417 2.417 0.000
```

---

3.
A plane-wave DFT calculation with PBE-GGA was carried out for an optimized crystal structure of Cu3Se.

```
4
Lattice="2.753 0.000 0.000 0.000 3.456 0.000 -0.024 0.000 6.238" Properties=species:S:1:pos:R:3 pbc="T T T"
Cu 0.000 0.000 0.000
Cu 1.352 1.728 4.981
Cu 1.377 1.728 1.256
Se 1.364 0.000 3.119
```

---

no.,electronic total energy (eV per atom),uncorrected formation energy (meV/atom)
1,-3.619,171
2,-3.126,511
3,-3.836,108